# Cs2BiTeO6 PBE-GGA relaxed
# Calculated volume ... 18.4 Å³/atom
# Density of states at the Fermi level ... 0.633 states/eV/atom
# ΔE_f (raw) ... -12.205 eV/f.u.
# Total magnetic moment ... 0.00 μB/f.u.
data_Cs2BiTeO6
_space_group_name_H-M_alt 'R -3 m'
_space_group_IT_number 166
_space_group_name_Hall '-R 3 2"'
_cell_length_a 6.5150
_cell_length_b 6.5150
_cell_length_c 30.0897
_cell_angle_alpha 90.00
_cell_angle_beta 90.00
_cell_angle_gamma 120.00
loop_
_atom_site_label
_atom_site_type_symbol
_atom_site_fract_x
_atom_site_fract_y
_atom_site_fract_z
Cs1 Cs 0.0000 0.0000 0.1318
Cs2 Cs 0.0000 0.0000 0.2756
Bi1 Bi 0.0000 0.0000 0.4009
Te1 Te 0.0000 0.0000 0.0000
Te2 Te 0.0000 0.0000 0.5000
O1 O 0.0515 0.5257 0.7061
O2 O 0.0631 0.5315 0.1252